Entry 1:
# Tb5Th3S12

Tb5Th3S12 after structural relaxation (PBE, Alexandria).

Calculated values
As for the volume: 2107.54 Å³ per cell. The density of states at the Fermi level is 51.8 states/eV per cell. The value obtained for the raw formation energy is -35.7 eV per formula unit. As for the density: 5.9 Mg/m³.

abc: 13.9894 13.9894 13.9894
angles: 109.47 109.47 109.47
Positions (direct):
Th 0.7500 0.3750 0.1250
Th 0.8750 0.7500 0.1250
Th 0.3750 0.7500 0.6250
Th 0.2500 0.1250 0.3750
Th 0.8750 0.1250 0.2500
Th 0.3750 0.6250 0.2500
Th 0.6250 0.3750 0.7500
Th 0.1250 0.8750 0.7500
Th 0.7500 0.8750 0.6250
Th 0.6250 0.2500 0.3750
Th 0.1250 0.2500 0.8750
Th 0.2500 0.6250 0.8750
Tb 0.1250 0.3750 0.2500
Tb 0.0000 0.5000 0.0000
Tb 0.0000 0.0000 0.0000
Tb 0.3750 0.2500 0.1250
Tb 0.5000 0.0000 0.5000
Tb 0.5000 0.5000 0.0000
Tb 0.1250 0.7500 0.3750
Tb 0.7500 0.1250 0.8750
Tb 0.7500 0.6250 0.3750
Tb 0.3750 0.1250 0.7500
Tb 0.6250 0.8750 0.2500
Tb 0.5000 0.5000 0.5000
Tb 0.5000 0.0000 0.0000
Tb 0.0000 0.0000 0.5000
Tb 0.2500 0.3750 0.6250
Tb 0.2500 0.8750 0.1250
Tb 0.0000 0.5000 0.5000
Tb 0.8750 0.2500 0.6250
Tb 0.6250 0.7500 0.8750
Tb 0.8750 0.6250 0.7500
S 0.7242 0.1308 0.0498
S 0.3257 0.5498 0.4191
S 0.9502 0.3692 0.2758
S 0.5498 0.2242 0.1308
S 0.5934 0.7242 0.6743
S 0.9502 0.5809 0.1743
S 0.3257 0.7758 0.4066
S 0.0809 0.9066 0.1308
S 0.5809 0.9502 0.6743
S 0.7242 0.5934 0.1743
S 0.7758 0.4502 0.3692
S 0.8257 0.9191 0.0498
S 0.1308 0.7242 0.5498
S 0.3692 0.4191 0.0934
S 0.0934 0.9191 0.3692
S 0.4066 0.1308 0.5809
S 0.0934 0.1743 0.2242
S 0.4502 0.6743 0.0809
S 0.8257 0.9066 0.2758
S 0.1308 0.4066 0.0809
S 0.3692 0.9502 0.7758
S 0.5809 0.6308 0.4066
S 0.9191 0.8257 0.5498
S 0.7758 0.3257 0.9066
S 0.4191 0.3692 0.5934
S 0.0809 0.1743 0.4502
S 0.2242 0.6743 0.0934
S 0.1743 0.0934 0.7242
S 0.6308 0.0498 0.2242
S 0.8692 0.5934 0.9191
S 0.5498 0.3257 0.9191
S 0.5934 0.8692 0.4191
S 0.9066 0.8257 0.7758
S 0.9066 0.0809 0.6308
S 0.8692 0.2758 0.4502
S 0.1743 0.0809 0.9502
S 0.6308 0.5809 0.9066
S 0.4191 0.0498 0.3257
S 0.2758 0.4066 0.8257
S 0.2242 0.5498 0.6308
S 0.9191 0.0934 0.8692
S 0.6743 0.2242 0.5934
S 0.4502 0.7758 0.8692
S 0.0498 0.4191 0.8257
S 0.4066 0.2758 0.3257
S 0.0498 0.6308 0.7242
S 0.6743 0.4502 0.5809
S 0.2758 0.8692 0.9502

Entry 2:
# TbThS4

TbThS4 after structural relaxation (PBE, Alexandria).

Calculated values
As for the volume: 310.50 Å³ per cell. The density of states at the Fermi level is 2.1 states/eV per cell. The value obtained for the raw formation energy is -9.4 eV per formula unit. As for the density: 5.6 Mg/m³.

abc: 6.8438 6.7161 6.7653
angles: 90.00 93.10 90.00
Last column: magnetic moment on the atom in μB.
Positions (direct):
Tb 0.5000 0.0000 0.5000  0.02
Tb 0.0000 0.5000 0.5000  0.02
Th 0.0000 0.0000 0.0000  0.02
Th 0.5000 0.5000 0.0000  0.02
S 0.8525 0.6436 0.1447  0.03
S 0.6475 0.1436 0.8553  0.03
S 0.3722 0.3740 0.3762  0.26
S 0.1278 0.8740 0.6238  0.26
S 0.1475 0.3564 0.8553  0.03
S 0.3525 0.8564 0.1447  0.03
S 0.6278 0.6260 0.6238  0.26
S 0.8722 0.1260 0.3762  0.26

Entry 3:
# Tb2ThS3

Tb2ThS3 after structural relaxation (PBE, Alexandria).

Calculated values
As for the volume: 132.66 Å³ per cell. The density of states at the Fermi level is 3.9 states/eV per cell. The value obtained for the raw formation energy is -11.6 eV per formula unit. As for the density: 8.1 Mg/m³.

abc: 3.9439 5.6282 6.8940
angles: 114.09 106.62 90.00
Positions (direct):
Tb 0.6650 0.1650 0.3300
Tb 0.3350 0.8350 0.6700
Th 0.0000 0.5000 0.0000
S 0.3270 0.3270 0.6540
S 0.0000 0.0000 0.0000
S 0.6730 0.6730 0.3460

Entry 4:
# Tb4Tm3ThS8

Tb4Tm3ThS8 after structural relaxation (PBE, Alexandria).

Calculated values
As for the volume: 339.21 Å³ per cell. The density of states at the Fermi level is 9.3 states/eV per cell. The value obtained for the raw formation energy is -31.1 eV per formula unit. As for the density: 8.0 Mg/m³.

abc: 7.8342 7.8222 7.8355
angles: 120.07 119.99 90.00
Positions (direct):
Tb 0.5000 0.0000 0.0000
Tb 0.5000 0.0000 0.5000
Tb 0.0000 0.0000 0.0000
Tb 0.0000 0.0000 0.5000
Tm 0.5000 0.5000 0.0000
Tm 0.5000 0.5000 0.5000
Tm 0.0000 0.5000 0.5000
Th 0.0000 0.5000 0.0000
S 0.2537 0.7479 0.9941
S 0.2537 0.7478 0.5074
S 0.2529 0.2587 0.5058
S 0.7405 0.7479 0.9941
S 0.2595 0.2521 0.0059
S 0.7471 0.7413 0.4942
S 0.7463 0.2522 0.4926
S 0.7463 0.2521 0.0059